Below is Ti6ZnRe2 after structural relaxation, with properties calculated at the PBE-GGA level.

POSCAR file:
```
Ti6ZnRe2
1.0
4.4639 0.0000 0.0000
-2.2320 3.8659 0.0000
0.0000 0.0000 8.2488
Ti Zn Re
6 1 2
Direct
0.0000 0.0000 0.1720
0.0000 0.0000 0.8280
0.3333 0.6667 0.0267
0.3333 0.6667 0.3857
0.6667 0.3333 0.6143
0.6667 0.3333 0.9733
0.0000 0.0000 0.5000
0.3333 0.6667 0.7126
0.6667 0.3333 0.2874
```

Results
Space group: P-3m1



Below is Ti3Zn2Re after structural relaxation, with properties calculated at the PBE-GGA level.

POSCAR file:
```
Ti3Zn2Re
1.0
2.2282 -6.6740 0.0000
2.2282 6.6740 0.0000
0.0000 0.0000 6.2450
Ti Zn Re
6 4 2
Direct
0.0000 0.0000 0.2451
0.0000 0.0000 0.7549
0.3301 0.6699 0.2407
0.3301 0.6699 0.7593
0.6699 0.3301 0.2407
0.6699 0.3301 0.7593
0.1653 0.8347 0.5000
0.5000 0.5000 0.0000
0.5000 0.5000 0.5000
0.8347 0.1653 0.5000
0.1633 0.8367 0.0000
0.8367 0.1633 0.0000
```

Results
Space group: Cmmm



Below is TiZnRe2 after structural relaxation, with properties calculated at the PBE-GGA level.

POSCAR file:
```
TiZnRe2
1.0
7.0213 0.0000 0.0000
0.0000 7.0213 0.0000
0.0000 0.0000 5.2590
Ti Zn Re
4 4 8
Direct
0.0000 0.0000 0.0000
0.0000 0.5000 0.2500
0.5000 0.0000 0.7500
0.5000 0.5000 0.5000
0.0000 0.0000 0.5000
0.0000 0.5000 0.7500
0.5000 0.0000 0.2500
0.5000 0.5000 0.0000
0.2493 0.2500 0.1250
0.2500 0.7493 0.3750
0.2500 0.7507 0.8750
0.2507 0.2500 0.6250
0.7493 0.7500 0.6250
0.7500 0.2493 0.8750
0.7500 0.2507 0.3750
0.7507 0.7500 0.1250
```

Results
Space group: I-42d



Below is Ti2ZnRe2 after structural relaxation, with properties calculated at the PBE-GGA level.

POSCAR file:
```
Ti2ZnRe2
1.0
7.0142 0.0000 0.0000
0.0000 7.0142 0.0000
0.0000 0.0000 3.2973
Ti Zn Re
4 2 4
Direct
0.1614 0.3386 0.0000
0.3386 0.8386 0.0000
0.6614 0.1614 0.0000
0.8386 0.6614 0.0000
0.0000 0.0000 0.5000
0.5000 0.5000 0.5000
0.1405 0.6405 0.5000
0.3595 0.1405 0.5000
0.6405 0.8595 0.5000
0.8595 0.3595 0.5000
```

Results
Space group: P4/mbm



Number 1: formation energy from the elements -262 meV per atom, spin magnetization 0.00 μB/atom. Number 2: formation energy from the elements -303 meV per atom, spin magnetization 0.00 μB/atom. Number 3: formation energy from the elements 731 meV per atom, spin magnetization 0.00 μB/atom. Number 4: formation energy from the elements 120 meV per atom, spin magnetization 0.00 μB/atom.